# PBE-GGA NaDy2Hg6, relaxed
data_NaDy2Hg6
_chemical_formula_sum 'Na2 Dy4 Hg12'
_cell_length_a 11.192
_cell_length_b 8.145
_cell_length_c 4.989
_cell_angle_alpha 90.00
_cell_angle_beta 91.00
_cell_angle_gamma 90.00
_space_group_name_H-M_alt 'C 1 2/m 1'
_space_group_IT_number 12
loop_
_space_group_symop_operation_xyz
'x,y,z'
'-x,-y,-z'
'-x,y,-z'
'x,-y,z'
'x+1/2,y+1/2,z'
'-x+1/2,-y+1/2,-z'
'-x+1/2,y+1/2,-z'
'x+1/2,-y+1/2,z'
loop_
_atom_site_label
_atom_site_type_symbol
_atom_site_fract_x
_atom_site_fract_y
_atom_site_fract_z
_atom_site_occupancy
Na1 Na 0.000 0.000 0.000 1
Dy1 Dy 0.248 0.000 0.488 1
Hg1 Hg 0.000 0.209 0.500 1
Hg2 Hg 0.134 0.323 0.011 1
# Energy of formation = -0.20 eV/atom
# Energy above the most stable polymorph in this dataset = 0.109 eV per atom
# Uncorrected energy = -1.5729 eV/atom